(1)
## K4MoIr (PBE)

Data for a relaxed K4MoIr crystal.

The formation enthalpy at 0 K is 1.551 eV per atom. Its crystal system is cubic. For the size of the total moment, the calculation gives 0.84 μB/atom.

a b c (Å): 6.449 6.449 6.449
angles (deg): 60.00 60.00 60.00
Fractional positions:
Mo 0.750 0.750 0.750
Ir 0.000 0.000 0.000
K 0.879 0.374 0.374
K 0.374 0.879 0.374
K 0.374 0.374 0.879
K 0.374 0.374 0.374

=====

(2)
## KMo2Ir (PBE)

Data for a relaxed KMo2Ir crystal.

The formation enthalpy at 0 K is 0.837 eV per atom. The calculation puts the polymorph energy (0 for the lowest one) at 240 meV per atom. Its crystal system is orthorhombic. For the size of the total moment, the calculation gives 0.00 μB/atom.

a b c (Å): 2.753 2.753 10.842
angles (deg): 90.00 90.00 115.12
Fractional positions:
Mo 0.000 0.000 0.459
K 0.500 0.500 0.750
Mo 0.000 0.000 0.041
Ir 0.500 0.500 0.250

=====

(3)
## KMo2Ir (PBE)

Data for a relaxed KMo2Ir crystal.

The formation enthalpy at 0 K is 1.546 eV per atom. The calculation puts the polymorph energy (0 for the lowest one) at 949 meV per atom. Its crystal system is tetragonal. For the size of the total moment, the calculation gives 0.00 μB/atom.

a b c (Å): 4.632 3.947 3.947
angles (deg): 90.00 90.00 90.00
Fractional positions:
Ir 0.500 0.500 0.000
Mo 0.000 0.000 0.000
Mo 0.000 0.500 0.500
K 0.500 0.000 0.500

=====

(4)
## K2MoIr (PBE)

Data for a relaxed K2MoIr crystal.

The formation enthalpy at 0 K is 0.901 eV per atom. The calculation puts the polymorph energy (0 for the lowest one) at 316 meV per atom. Its crystal system is orthorhombic. For the size of the total moment, the calculation gives 0.00 μB/atom.

a b c (Å): 6.524 6.524 6.524
angles (deg): 145.71 125.33 66.14
Fractional positions:
Mo 0.427 0.427 0.000
Ir 0.306 0.806 0.500
K 0.736 0.236 0.500
K 0.031 0.031 0.000

=====

(5)
## K2MoIr (PBE)

Data for a relaxed K2MoIr crystal.

The formation enthalpy at 0 K is 1.455 eV per atom. The calculation puts the polymorph energy (0 for the lowest one) at 870 meV per atom. Its crystal system is cubic. For the size of the total moment, the calculation gives 0.00 μB/atom.

a b c (Å): 4.949 4.949 4.949
angles (deg): 60.00 60.00 60.00
Fractional positions:
Ir 0.500 0.500 0.500
K 0.000 0.000 0.000
Mo 0.750 0.750 0.750
K 0.250 0.250 0.250

=====

(6)
## KMoIr2 (PBE)

Data for a relaxed KMoIr2 crystal.

The formation enthalpy at 0 K is 1.017 eV per atom. The calculation puts the polymorph energy (0 for the lowest one) at 719 meV per atom. Its crystal system is tetragonal. For the size of the total moment, the calculation gives 0.05 μB/atom.

a b c (Å): 5.141 5.141 2.688
angles (deg): 90.00 90.00 90.00
Fractional positions:
Ir 0.000 0.000 0.000
Mo 0.000 0.500 0.500
Ir 0.500 0.500 0.000
K 0.500 0.000 0.500

=====

(7)
## KMo2Ir (PBE)

Data for a relaxed KMo2Ir crystal.

The formation enthalpy at 0 K is 0.702 eV per atom. The calculation puts the polymorph energy (0 for the lowest one) at 105 meV per atom. Its crystal system is tetragonal. For the size of the total moment, the calculation gives 0.00 μB/atom.

a b c (Å): 2.750 2.750 10.310
angles (deg): 90.00 90.00 90.00
Fractional positions:
Mo 0.000 0.000 0.060
Mo 0.000 0.000 0.440
Ir 0.500 0.500 0.250
K 0.500 0.500 0.750

=====

(8)
## KMo2Ir (PBE)

Data for a relaxed KMo2Ir crystal.

The formation enthalpy at 0 K is 1.200 eV per atom. The calculation puts the polymorph energy (0 for the lowest one) at 604 meV per atom. Its crystal system is monoclinic. For the size of the total moment, the calculation gives 0.00 μB/atom.

a b c (Å): 5.503 5.573 2.701
angles (deg): 82.31 77.30 116.13
Fractional positions:
Mo 0.500 0.000 0.500
Mo 0.000 0.000 0.000
Ir 0.000 0.500 0.500
K 0.500 0.500 0.000

=====

(9)
## KMo3Ir (PBE)

Data for a relaxed KMo3Ir crystal.

The formation enthalpy at 0 K is 1.636 eV per atom. The calculation puts the polymorph energy (0 for the lowest one) at 0 meV per atom. Its crystal system is cubic. For the size of the total moment, the calculation gives 0.66 μB/atom.

a b c (Å): 4.917 4.917 4.917
angles (deg): 90.00 90.00 90.00
Fractional positions:
Mo 0.000 0.500 0.000
K 0.500 0.500 0.500
Mo 0.000 0.000 0.500
Mo 0.500 0.000 0.000
Ir 0.000 0.000 0.000

=====

(10)
## K2MoIr (PBE)

Data for a relaxed K2MoIr crystal.

The formation enthalpy at 0 K is 0.627 eV per atom. The calculation puts the polymorph energy (0 for the lowest one) at 43 meV per atom. Its crystal system is monoclinic. For the size of the total moment, the calculation gives 0.00 μB/atom.

a b c (Å): 4.413 4.413 10.026
angles (deg): 87.73 87.73 40.44
Fractional positions:
K 0.986 0.986 0.091
Mo 0.516 0.516 0.411
K 0.756 0.756 0.664
Ir 0.243 0.243 0.334

=====

(11)
## KMoIr (PBE)

Data for a relaxed KMoIr crystal.

The formation enthalpy at 0 K is 0.816 eV per atom. The calculation puts the polymorph energy (0 for the lowest one) at 196 meV per atom. Its crystal system is orthorhombic. For the size of the total moment, the calculation gives 0.00 μB/atom.

a b c (Å): 8.510 8.310 2.792
angles (deg): 84.51 76.43 19.06
Fractional positions:
K 0.341 0.341 0.659
Mo 0.646 0.646 0.354
Ir 0.013 0.013 0.987

=====

(12)
## KMo2Ir (PBE)

Data for a relaxed KMo2Ir crystal.

The formation enthalpy at 0 K is 0.666 eV per atom. The calculation puts the polymorph energy (0 for the lowest one) at 69 meV per atom. Its crystal system is monoclinic. For the size of the total moment, the calculation gives 0.00 μB/atom.

a b c (Å): 3.993 2.744 8.187
angles (deg): 88.26 90.00 90.00
Fractional positions:
Ir 0.500 0.250 0.250
K 0.500 0.750 0.750
Mo 0.000 0.762 0.099
Mo 0.000 0.738 0.401

=====

(13)
## KMoIr2 (PBE)

Data for a relaxed KMoIr2 crystal.

The formation enthalpy at 0 K is 0.734 eV per atom. The calculation puts the polymorph energy (0 for the lowest one) at 436 meV per atom. Its crystal system is orthorhombic. For the size of the total moment, the calculation gives 0.00 μB/atom.

a b c (Å): 2.751 2.751 10.603
angles (deg): 90.00 90.00 117.50
Fractional positions:
K 0.000 0.000 0.486
Ir 0.500 0.500 0.224
Mo 0.500 0.500 0.790
Ir 0.000 0.000 0.000

=====

(14)
## KMoIr2 (PBE)

Data for a relaxed KMoIr2 crystal.

The formation enthalpy at 0 K is 0.635 eV per atom. The calculation puts the polymorph energy (0 for the lowest one) at 337 meV per atom. Its crystal system is monoclinic. For the size of the total moment, the calculation gives 0.00 μB/atom.

a b c (Å): 5.323 5.323 6.362
angles (deg): 78.79 78.79 30.03
Fractional positions:
Ir 0.990 0.990 0.957
Ir 0.292 0.292 0.175
Mo 0.708 0.708 0.896
K 0.510 0.510 0.472

=====

(15)
## KMoIr2 (PBE)

Data for a relaxed KMoIr2 crystal.

The formation enthalpy at 0 K is 0.372 eV per atom. The calculation puts the polymorph energy (0 for the lowest one) at 74 meV per atom. Its crystal system is trigonal. For the size of the total moment, the calculation gives 0.00 μB/atom.

a b c (Å): 10.178 10.178 10.178
angles (deg): 16.11 16.11 16.11
Fractional positions:
Mo 0.750 0.750 0.750
K 0.250 0.250 0.250
Ir 0.013 0.013 0.013
Ir 0.487 0.487 0.487

=====

(16)
## KMo2Ir (PBE)

Data for a relaxed KMo2Ir crystal.

The formation enthalpy at 0 K is 0.742 eV per atom. The calculation puts the polymorph energy (0 for the lowest one) at 146 meV per atom. Its crystal system is trigonal. For the size of the total moment, the calculation gives 0.00 μB/atom.

a b c (Å): 10.906 10.906 10.906
angles (deg): 14.91 14.91 14.91
Fractional positions:
Mo 0.985 0.985 0.985
K 0.750 0.750 0.750
Mo 0.515 0.515 0.515
Ir 0.250 0.250 0.250

=====

(17)
## K2MoIr (PBE)

Data for a relaxed K2MoIr crystal.

The formation enthalpy at 0 K is 1.149 eV per atom. The calculation puts the polymorph energy (0 for the lowest one) at 564 meV per atom. Its crystal system is monoclinic. For the size of the total moment, the calculation gives 0.13 μB/atom.

a b c (Å): 5.925 2.834 4.969
angles (deg): 86.92 90.00 90.00
Fractional positions:
K 0.000 0.511 0.505
K 0.000 0.989 0.995
Mo 0.500 0.250 0.250
Ir 0.500 0.750 0.750

=====

(18)
## K2MoIr (PBE)

Data for a relaxed K2MoIr crystal.

The formation enthalpy at 0 K is 1.219 eV per atom. The calculation puts the polymorph energy (0 for the lowest one) at 634 meV per atom. Its crystal system is tetragonal. For the size of the total moment, the calculation gives 0.17 μB/atom.

a b c (Å): 2.740 2.740 11.641
angles (deg): 90.00 90.00 90.00
Fractional positions:
Ir 0.500 0.500 0.750
K 0.000 0.000 0.521
Mo 0.500 0.500 0.250
K 0.000 0.000 0.979

=====

(19)
## K3MoIr (PBE)

Data for a relaxed K3MoIr crystal.

The formation enthalpy at 0 K is 1.611 eV per atom. The calculation puts the polymorph energy (0 for the lowest one) at 0 meV per atom. Its crystal system is cubic. For the size of the total moment, the calculation gives 1.20 μB/atom.

a b c (Å): 6.133 6.133 6.133
angles (deg): 90.00 90.00 90.00
Fractional positions:
Ir 0.000 0.000 0.000
K 0.500 0.000 0.000
K 0.000 0.000 0.500
Mo 0.500 0.500 0.500
K 0.000 0.500 0.000

=====

(20)
## K2MoIr (PBE)

Data for a relaxed K2MoIr crystal.

The formation enthalpy at 0 K is 1.191 eV per atom. The calculation puts the polymorph energy (0 for the lowest one) at 606 meV per atom. Its crystal system is orthorhombic. For the size of the total moment, the calculation gives 0.04 μB/atom.

a b c (Å): 6.351 6.351 2.788
angles (deg): 90.00 90.00 130.51
Fractional positions:
K 0.000 0.000 0.000
Mo 0.500 0.000 0.500
Ir 0.000 0.500 0.500
K 0.500 0.500 0.000